First-principles (PBE) data for a relaxed GaHg2Bi2 crystal, as listed in Alexandria.

Cell lengths 7.935, 7.935, 4.656 Å; angles 90.00, 90.00, 90.00 degrees
Space group P4/mbm (No. 127)
Inequivalent atoms, fractional coordinates:
Ga  0.000  0.000  0.000 (multiplicity 2)
Hg  0.161  0.339  0.500 (multiplicity 4)
Bi  0.144  0.644  0.000 (multiplicity 4)

Calculated total energy, eV/atom: -2.120
Relative energy among the computed polymorphs, meV per atom: 10.8
Energy of formation from the pure elements, kcal/mol of atoms: 3.65
Total moment, μB/f.u.: 0.0